VASP calculation (PBE-GGA) on a relaxed structure of HfBe3H.

Lattice parameters (Å, degrees): 5.0563 5.0563 5.0563 90.00 90.00 90.00
Space group Pm-3m (No. 221)
Asymmetric unit:
1 Hf 0.0000 0.0000 0.0000
2 Be 0.0000 0.0000 0.5000
3 H 0.5000 0.5000 0.5000

Computed properties:
The value obtained for the density of states at the Fermi level is 1.22 states/eV/atom. The value obtained for the total energy is -2.5553 eV per atom.